NbS3Br, relaxed, DFT GGA-PBEsol; space group = No. 221; raw formation energy = -124 meV/atom; calculated total energy = -5.293 eV/atom
1.0
4.767 0.000 0.000
0.000 4.767 0.000
0.000 0.000 4.767
Nb S Br
1 3 1
Cartesian
0.000 0.000 0.000 Nb
0.000 0.000 2.383 S
0.000 2.383 0.000 S
2.383 0.000 0.000 S
2.383 2.383 2.383 Br